Record 1
# SrDyAs2S8 | Alexandria via LeMat-Bulk | PBE | relaxed
# Uncorrected energy, eV/atom: -4.68
# M_tot, μB per cell: 0.0
# Uncorrected formation energy, meV/atom: -625
# ρ, Mg/m³: 3.64
data_SrDyAs2S8
_cell_length_a 6.1067
_cell_length_b 6.1067
_cell_length_c 9.2800
_cell_angle_alpha 90.00
_cell_angle_beta 90.00
_cell_angle_gamma 120.00
_symmetry_space_group_name_H-M 'P -3'
_symmetry_Int_Tables_number 147
loop_
_symmetry_equiv_pos_as_xyz
'x,y,z'
'-x,-y,-z'
'-y,x-y,z'
'y,-x+y,-z'
'-x+y,-x,z'
'x-y,x,-z'
loop_
_atom_site_label
_atom_site_type_symbol
_atom_site_fract_x
_atom_site_fract_y
_atom_site_fract_z
Sr1 Sr 0.0000 0.0000 0.0000
Dy1 Dy 0.0000 0.0000 0.5000
As1 As 0.3333 0.6667 0.7586
S1 S 0.0206 0.6760 0.3031
S2 S 0.3333 0.6667 0.9930



Record 2
# Dy8Te4AsS3 | Alexandria via LeMat-Bulk | PBE | relaxed
# Uncorrected energy, eV/atom: -5.77
# M_tot, μB per cell: 0.0
# Uncorrected formation energy, meV/atom: -1617
# ρ, Mg/m³: 8.07
data_Dy8Te4AsS3
_cell_length_a 8.2141
_cell_length_b 8.2141
_cell_length_c 20.9432
_cell_angle_alpha 90.00
_cell_angle_beta 90.00
_cell_angle_gamma 120.00
_symmetry_space_group_name_H-M 'R -3 m'
_symmetry_Int_Tables_number 166
_symmetry_space_group_name_Hall '-R 3 2"'
loop_
_atom_site_label
_atom_site_type_symbol
_atom_site_fract_x
_atom_site_fract_y
_atom_site_fract_z
Dy1 Dy 0.0000 0.0000 0.2345
Dy2 Dy 0.0055 0.5027 0.7643
Te1 Te 0.0000 0.0000 0.0000
Te2 Te 0.0000 0.5000 0.0000
As1 As 0.0000 0.0000 0.5000
S1 S 0.0000 0.5000 0.5000